## AcLaReO6 (PBE)

Data for a geometry-optimized AcLaReO6 structure.

The value obtained for the magnetic moment is 1.02 μB/f.u. The uncorrected formation energy is -23.2 eV per formula unit. The total DFT energy (no corrections) comes out at -8.272 eV/atom. The space-group type is P312.

abc: 5.771 5.771 5.165
angles: 90.00 90.00 120.00
Fractional coordinates of all 9 atoms:
Ac (0.000, 0.000, 0.000)
La (0.667, 0.333, 0.500)
Re (0.333, 0.667, 0.500)
O (0.057, 0.385, 0.287)
O (0.057, 0.672, 0.713)
O (0.328, 0.385, 0.713)
O (0.328, 0.943, 0.287)
O (0.615, 0.672, 0.287)
O (0.615, 0.943, 0.713)

=====

## AcLaRhO6 (PBE)

Data for a geometry-optimized AcLaRhO6 structure.

The value obtained for the magnetic moment is 2.90 μB/f.u. The uncorrected formation energy is -18.2 eV per formula unit. The total DFT energy (no corrections) comes out at -7.146 eV/atom. The space-group type is P-31c.

abc: 5.894 5.894 9.453
angles: 90.00 90.00 120.00
Fractional coordinates of all 18 atoms:
Ac (0.333, 0.667, 0.250)
Ac (0.667, 0.333, 0.750)
La (0.000, 0.000, 0.000)
La (0.000, 0.000, 0.500)
Rh (0.333, 0.667, 0.750)
Rh (0.667, 0.333, 0.250)
O (0.064, 0.382, 0.633)
O (0.064, 0.682, 0.867)
O (0.318, 0.382, 0.867)
O (0.318, 0.936, 0.633)
O (0.382, 0.064, 0.133)
O (0.382, 0.318, 0.367)
O (0.618, 0.682, 0.633)
O (0.618, 0.936, 0.867)
O (0.682, 0.064, 0.367)
O (0.682, 0.618, 0.133)
O (0.936, 0.318, 0.133)
O (0.936, 0.618, 0.367)

=====

## AcLaRuO6 (PBE)

Data for a geometry-optimized AcLaRuO6 structure.

The value obtained for the magnetic moment is 2.02 μB/f.u. The uncorrected formation energy is -19.8 eV per formula unit. The total DFT energy (no corrections) comes out at -7.543 eV/atom. The space-group type is P-31c.

abc: 5.896 5.896 9.400
angles: 90.00 90.00 120.00
Fractional coordinates of all 18 atoms:
Ac (0.333, 0.667, 0.250)
Ac (0.667, 0.333, 0.750)
La (0.000, 0.000, 0.000)
La (0.000, 0.000, 0.500)
Ru (0.333, 0.667, 0.750)
Ru (0.667, 0.333, 0.250)
O (0.067, 0.385, 0.633)
O (0.067, 0.682, 0.867)
O (0.318, 0.385, 0.867)
O (0.318, 0.933, 0.633)
O (0.385, 0.067, 0.133)
O (0.385, 0.318, 0.367)
O (0.615, 0.682, 0.633)
O (0.615, 0.933, 0.867)
O (0.682, 0.067, 0.367)
O (0.682, 0.615, 0.133)
O (0.933, 0.318, 0.133)
O (0.933, 0.615, 0.367)

=====

## Ac2LaS2O2 (PBE)

Data for a geometry-optimized Ac2LaS2O2 structure.

The value obtained for the magnetic moment is 0.00 μB/f.u. The uncorrected formation energy is -16.9 eV per formula unit. The total DFT energy (no corrections) comes out at -6.882 eV/atom. The space-group type is I4/mmm.

abc: 8.623 8.623 8.623
angles: 149.50 149.50 43.68
Fractional coordinates of all 7 atoms:
Ac (0.138, 0.138, 0.000)
Ac (0.862, 0.862, 0.000)
La (0.500, 0.500, 0.000)
S (0.320, 0.320, 0.000)
S (0.680, 0.680, 0.000)
O (0.000, 0.500, 0.500)
O (0.500, 0.000, 0.500)

=====

## AcLaS2O8 (PBE)

Data for a geometry-optimized AcLaS2O8 structure.

The value obtained for the magnetic moment is 0.47 μB/f.u. The uncorrected formation energy is -23.3 eV per formula unit. The total DFT energy (no corrections) comes out at -6.686 eV/atom. The space-group type is P-3m1.

abc: 5.132 5.132 8.711
angles: 90.00 90.00 120.00
Fractional coordinates of all 12 atoms:
Ac (0.000, 0.000, 0.000)
La (0.000, 0.000, 0.500)
S (0.333, 0.667, 0.197)
S (0.667, 0.333, 0.803)
O (0.174, 0.348, 0.247)
O (0.174, 0.826, 0.247)
O (0.333, 0.667, 0.023)
O (0.348, 0.174, 0.753)
O (0.652, 0.826, 0.247)
O (0.667, 0.333, 0.977)
O (0.826, 0.174, 0.753)
O (0.826, 0.652, 0.753)

=====

## AcLaSbO2 (PBE)

Data for a geometry-optimized AcLaSbO2 structure.

The value obtained for the magnetic moment is 0.00 μB/f.u. The uncorrected formation energy is -13.3 eV per formula unit. The total DFT energy (no corrections) comes out at -7.283 eV/atom. The space-group type is I4mm.

abc: 7.737 7.737 7.737
angles: 149.05 149.05 44.34
Fractional coordinates of all 5 atoms:
Ac (0.000, 0.000, 0.000)
La (0.324, 0.324, 0.000)
Sb (0.663, 0.663, 0.000)
O (0.407, 0.907, 0.500)
O (0.907, 0.407, 0.500)

=====

## AcLaSbO5 (PBE)

Data for a geometry-optimized AcLaSbO5 structure.

The value obtained for the magnetic moment is 0.94 μB/f.u. The uncorrected formation energy is -19.7 eV per formula unit. The total DFT energy (no corrections) comes out at -7.211 eV/atom. The space-group type is C2/c.

abc: 6.682 6.682 8.650
angles: 108.53 108.53 96.61
Fractional coordinates of all 16 atoms:
Ac (0.000, 0.000, 0.000)
Ac (0.000, 0.000, 0.500)
La (0.323, 0.677, 0.750)
La (0.677, 0.323, 0.250)
Sb (0.337, 0.663, 0.250)
Sb (0.663, 0.337, 0.750)
O (0.101, 0.899, 0.750)
O (0.228, 0.705, 0.455)
O (0.295, 0.772, 0.045)
O (0.299, 0.345, 0.146)
O (0.345, 0.299, 0.646)
O (0.655, 0.701, 0.354)
O (0.701, 0.655, 0.854)
O (0.705, 0.228, 0.955)
O (0.772, 0.295, 0.545)
O (0.899, 0.101, 0.250)

=====

## AcLaSb2O8 (PBE)

Data for a geometry-optimized AcLaSb2O8 structure.

The value obtained for the magnetic moment is 0.00 μB/f.u. The uncorrected formation energy is -27.8 eV per formula unit. The total DFT energy (no corrections) comes out at -7.061 eV/atom. The space-group type is I-4.

abc: 7.157 7.157 7.157
angles: 134.61 134.61 66.14
Fractional coordinates of all 12 atoms:
Ac (0.000, 0.000, 0.000)
La (0.250, 0.750, 0.500)
Sb (0.500, 0.500, 0.000)
Sb (0.750, 0.250, 0.500)
O (0.000, 0.087, 0.421)
O (0.258, 0.662, 0.091)
O (0.338, 0.429, 0.595)
O (0.421, 0.000, 0.087)
O (0.571, 0.166, 0.909)
O (0.666, 0.579, 0.579)
O (0.834, 0.742, 0.405)
O (0.913, 0.334, 0.913)

=====

## Ac2LaSbO8 (PBE)

Data for a geometry-optimized Ac2LaSbO8 structure.

The value obtained for the magnetic moment is 0.00 μB/f.u. The uncorrected formation energy is -29.9 eV per formula unit. The total DFT energy (no corrections) comes out at -7.236 eV/atom. The space-group type is P2/m.

abc: 4.514 7.425 5.687
angles: 90.00 92.30 90.00
Fractional coordinates of all 12 atoms:
Ac (0.000, 0.246, 0.000)
Ac (0.000, 0.754, 0.000)
La (0.500, 0.500, 0.500)
Sb (0.500, 0.000, 0.500)
O (0.052, 0.500, 0.249)
O (0.071, 0.000, 0.386)
O (0.457, 0.200, 0.737)
O (0.457, 0.800, 0.737)
O (0.543, 0.200, 0.263)
O (0.543, 0.800, 0.263)
O (0.929, 0.000, 0.614)
O (0.948, 0.500, 0.751)

=====

## AcLaScO4 (PBE)

Data for a geometry-optimized AcLaScO4 structure.

The value obtained for the magnetic moment is 0.00 μB/f.u. The uncorrected formation energy is -22.2 eV per formula unit. The total DFT energy (no corrections) comes out at -8.204 eV/atom. The space-group type is I4mm.

abc: 7.083 7.083 7.083
angles: 146.49 146.49 48.12
Fractional coordinates of all 7 atoms:
Ac (0.000, 0.000, 0.000)
La (0.703, 0.703, 0.000)
Sc (0.349, 0.349, 0.000)
O (0.187, 0.187, 0.000)
O (0.357, 0.857, 0.500)
O (0.525, 0.525, 0.000)
O (0.857, 0.357, 0.500)

=====

## AcLaSeO2 (PBE)

Data for a geometry-optimized AcLaSeO2 structure.

The value obtained for the magnetic moment is 0.00 μB/f.u. The uncorrected formation energy is -15.4 eV per formula unit. The total DFT energy (no corrections) comes out at -7.563 eV/atom. The space-group type is I4mm.

abc: 7.149 7.149 7.149
angles: 146.70 146.70 47.81
Fractional coordinates of all 5 atoms:
Ac (0.000, 0.000, 0.000)
La (0.696, 0.696, 0.000)
Se (0.350, 0.350, 0.000)
O (0.104, 0.604, 0.500)
O (0.604, 0.104, 0.500)

=====

## AcLaSe2O8 (PBE)

Data for a geometry-optimized AcLaSe2O8 structure.

The value obtained for the magnetic moment is 1.44 μB/f.u. The uncorrected formation energy is -20.7 eV per formula unit. The total DFT energy (no corrections) comes out at -6.361 eV/atom. The space-group type is P-3m1.

abc: 5.959 5.959 7.609
angles: 90.00 90.00 120.00
Fractional coordinates of all 12 atoms:
Ac (0.000, 0.000, 0.000)
La (0.000, 0.000, 0.500)
Se (0.333, 0.667, 0.779)
Se (0.667, 0.333, 0.221)
O (0.159, 0.317, 0.732)
O (0.159, 0.841, 0.732)
O (0.317, 0.159, 0.268)
O (0.333, 0.667, 0.999)
O (0.667, 0.333, 0.001)
O (0.683, 0.841, 0.732)
O (0.841, 0.159, 0.268)
O (0.841, 0.683, 0.268)

=====

## Ac2LaSe2O2 (PBE)

Data for a geometry-optimized Ac2LaSe2O2 structure.

The value obtained for the magnetic moment is 0.00 μB/f.u. The uncorrected formation energy is -16.5 eV per formula unit. The total DFT energy (no corrections) comes out at -6.651 eV/atom. The space-group type is I4/mmm.

abc: 8.905 8.905 8.905
angles: 150.22 150.22 42.62
Fractional coordinates of all 7 atoms:
Ac (0.132, 0.132, 0.000)
Ac (0.868, 0.868, 0.000)
La (0.500, 0.500, 0.000)
Se (0.320, 0.320, 0.000)
Se (0.680, 0.680, 0.000)
O (0.000, 0.500, 0.500)
O (0.500, 0.000, 0.500)

=====

## Ac2LaSmO6 (PBE)

Data for a geometry-optimized Ac2LaSmO6 structure.

The value obtained for the magnetic moment is 0.00 μB/f.u. The uncorrected formation energy is -33.4 eV per formula unit. The total DFT energy (no corrections) comes out at -8.098 eV/atom. The space-group type is P2_1/c.

abc: 6.163 6.375 10.926
angles: 90.00 124.25 90.00
Fractional coordinates of all 20 atoms:
Ac (0.235, 0.048, 0.253)
Ac (0.235, 0.452, 0.753)
Ac (0.765, 0.548, 0.247)
Ac (0.765, 0.952, 0.747)
La (0.500, 0.000, 0.000)
La (0.500, 0.500, 0.500)
Sm (0.000, 0.000, 0.500)
Sm (0.000, 0.500, 0.000)
O (0.113, 0.200, 0.922)
O (0.113, 0.300, 0.422)
O (0.233, 0.691, 0.929)
O (0.233, 0.809, 0.429)
O (0.381, 0.070, 0.744)
O (0.381, 0.430, 0.244)
O (0.619, 0.570, 0.756)
O (0.619, 0.930, 0.256)
O (0.767, 0.191, 0.571)
O (0.767, 0.309, 0.071)
O (0.887, 0.700, 0.578)
O (0.887, 0.800, 0.078)

=====

## Ac2La4Sn3O2 (PBE)

Data for a geometry-optimized Ac2La4Sn3O2 structure.

The value obtained for the magnetic moment is 0.00 μB/f.u. The uncorrected formation energy is -16.7 eV per formula unit. The total DFT energy (no corrections) comes out at -6.052 eV/atom. The space-group type is I4/mmm.

abc: 13.962 13.962 13.962
angles: 159.50 159.50 29.15
Fractional coordinates of all 11 atoms:
Ac (0.195, 0.195, 0.000)
Ac (0.805, 0.805, 0.000)
La (0.081, 0.581, 0.500)
La (0.419, 0.919, 0.500)
La (0.581, 0.081, 0.500)
La (0.919, 0.419, 0.500)
Sn (0.326, 0.326, 0.000)
Sn (0.500, 0.500, 0.000)
Sn (0.674, 0.674, 0.000)
O (0.100, 0.100, 0.000)
O (0.900, 0.900, 0.000)

=====

## AcLaSnO (PBE)

Data for a geometry-optimized AcLaSnO structure.

The value obtained for the magnetic moment is 0.83 μB/f.u. The uncorrected formation energy is -7.0 eV per formula unit. The total DFT energy (no corrections) comes out at -6.253 eV/atom. The space-group type is Imm2.

abc: 7.633 7.633 7.633
angles: 150.50 148.49 43.70
Fractional coordinates of all 4 atoms:
Ac (0.000, 0.000, 0.000)
La (0.302, 0.302, 0.000)
Sn (0.656, 0.656, 0.000)
O (0.399, 0.899, 0.500)

=====

## AcLa2TcO8 (PBE)

Data for a geometry-optimized AcLa2TcO8 structure.

The value obtained for the magnetic moment is 0.00 μB/f.u. The uncorrected formation energy is -30.9 eV per formula unit. The total DFT energy (no corrections) comes out at -7.911 eV/atom. The space-group type is P2/m.

abc: 5.306 7.187 5.310
angles: 90.00 90.55 90.00
Fractional coordinates of all 12 atoms:
Ac (0.000, 0.000, 0.000)
La (0.500, 0.254, 0.500)
La (0.500, 0.746, 0.500)
Tc (0.000, 0.500, 0.000)
O (0.176, 0.304, 0.178)
O (0.176, 0.696, 0.178)
O (0.250, 0.500, 0.752)
O (0.320, 0.000, 0.682)
O (0.680, 0.000, 0.318)
O (0.750, 0.500, 0.248)
O (0.824, 0.304, 0.822)
O (0.824, 0.696, 0.822)

=====

## AcLaTc2O8 (PBE)

Data for a geometry-optimized AcLaTc2O8 structure.

The value obtained for the magnetic moment is 4.01 μB/f.u. The uncorrected formation energy is -26.9 eV per formula unit. The total DFT energy (no corrections) comes out at -8.030 eV/atom. The space-group type is I-4.

abc: 7.156 7.156 7.156
angles: 135.26 135.26 65.13
Fractional coordinates of all 12 atoms:
Ac (0.000, 0.000, 0.000)
La (0.250, 0.750, 0.500)
Tc (0.500, 0.500, 0.000)
Tc (0.750, 0.250, 0.500)
O (0.274, 0.667, 0.107)
O (0.333, 0.440, 0.608)
O (0.423, 0.016, 0.099)
O (0.560, 0.167, 0.893)
O (0.677, 0.577, 0.594)
O (0.833, 0.726, 0.392)
O (0.917, 0.323, 0.901)
O (0.984, 0.083, 0.406)

=====

## Ac2LaTcO8 (PBE)

Data for a geometry-optimized Ac2LaTcO8 structure.

The value obtained for the magnetic moment is 0.00 μB/f.u. The uncorrected formation energy is -30.5 eV per formula unit. The total DFT energy (no corrections) comes out at -7.804 eV/atom. The space-group type is P-1.

abc: 5.319 5.394 7.266
angles: 90.17 90.27 90.74
Fractional coordinates of all 12 atoms:
Ac (0.006, 0.005, 0.258)
Ac (0.994, 0.995, 0.742)
La (0.500, 0.500, 0.000)
Tc (0.500, 0.500, 0.500)
O (0.194, 0.195, 0.997)
O (0.248, 0.253, 0.506)
O (0.324, 0.667, 0.304)
O (0.333, 0.677, 0.695)
O (0.667, 0.323, 0.305)
O (0.676, 0.333, 0.696)
O (0.752, 0.747, 0.494)
O (0.806, 0.805, 0.003)

=====

## Ac2LaTeO4 (PBE)

Data for a geometry-optimized Ac2LaTeO4 structure.

The value obtained for the magnetic moment is 0.00 μB/f.u. The uncorrected formation energy is -23.6 eV per formula unit. The total DFT energy (no corrections) comes out at -7.467 eV/atom. The space-group type is P4/mmm.

abc: 4.179 4.179 10.270
angles: 90.00 90.00 90.00
Fractional coordinates of all 8 atoms:
Ac (0.000, 0.000, 0.245)
Ac (0.000, 0.000, 0.755)
La (0.500, 0.500, 0.500)
Te (0.500, 0.500, 0.000)
O (0.000, 0.500, 0.356)
O (0.000, 0.500, 0.644)
O (0.500, 0.000, 0.356)
O (0.500, 0.000, 0.644)